Entry A
# Bi2SeCl2

Crystalline Bi2SeCl2 at its relaxed geometry (GGA-PBE, Alexandria).

Unit cell a=8.9524 b=8.9524 c=8.7070 alpha=103.28 beta=103.28 gamma=28.10
Fractional positions:
Bi: 0.1269 0.1269 0.4588
Bi: 0.3155 0.3155 0.0547
Bi: 0.6845 0.6845 0.9453
Bi: 0.8731 0.8731 0.5412
Se: 0.2837 0.2837 0.3584
Se: 0.7163 0.7163 0.6416
Cl: 0.0492 0.0492 0.6977
Cl: 0.3905 0.3905 0.7760
Cl: 0.6095 0.6095 0.2240
Cl: 0.9508 0.9508 0.3023

Results
space group: C2/m, No. 12
total moment: 0.00 μB per formula unit

Entry B
# Bi2SeCl2

Crystalline Bi2SeCl2 at its relaxed geometry (GGA-PBE, Alexandria).

Unit cell a=7.5955 b=7.5955 c=4.7788 alpha=90.00 beta=90.00 gamma=90.00
Fractional positions:
Bi: 0.1505 0.3495 0.0000
Bi: 0.3495 0.8495 0.0000
Bi: 0.6505 0.1505 0.0000
Bi: 0.8495 0.6505 0.0000
Se: 0.0000 0.0000 0.0000
Se: 0.5000 0.5000 0.0000
Cl: 0.1669 0.6669 0.5000
Cl: 0.3331 0.1669 0.5000
Cl: 0.6669 0.8331 0.5000
Cl: 0.8331 0.3331 0.5000

Results
density of states at the Fermi level: 1.71 states/eV/f.u.
space group: P4/mbm, No. 127
total moment: 0.00 μB per formula unit

The least stable of them is entry B.